(1)
First-principles (PBE) data for crystalline CsBa2Na2 at its relaxed geometry, as listed in the Alexandria database. Values from VASP.

```
&SYSTEM
  ibrav = 0, nat = 5, ntyp = 3
/
ATOMIC_SPECIES
Na 22.99 Na.upf
Cs 132.91 Cs.upf
Ba 137.33 Ba.upf
CELL_PARAMETERS angstrom
6.057 0.000 0.000
0.000 6.057 0.000
3.029 3.029 8.820
ATOMIC_POSITIONS crystal
Na 0.598 0.598 0.805
Cs 0.000 0.000 0.000
Na 0.402 0.402 0.195
Ba 0.250 0.750 0.500
Ba 0.750 0.250 0.500
```

Values from the calculation:
* DOS(E_F): 6.7 states/eV per cell
* M_tot: 0.0 Bohr magnetons per cell
* V: 64.72 A^3/atom
* energy relative to the elements: 101 meV/atom

---

(2)
First-principles (PBE) data for crystalline LaInGaBr2 at its relaxed geometry, as listed in the Alexandria database. Values from VASP.

```
&SYSTEM
  ibrav = 0, nat = 5, ntyp = 4
/
ATOMIC_SPECIES
Br 79.90 Br.upf
In 114.82 In.upf
Ga 69.72 Ga.upf
La 138.91 La.upf
CELL_PARAMETERS angstrom
-0.668 3.167 4.731
-6.375 -1.727 0.256
1.359 -4.538 3.229
ATOMIC_POSITIONS crystal
Br 0.000 0.000 0.500
Br 0.500 0.000 0.000
In 0.000 0.500 0.000
Ga 0.500 0.500 0.500
La 0.000 0.000 0.000
```

Values from the calculation:
* DOS(E_F): 4.7 states/eV per cell
* M_tot: 0.0 Bohr magnetons per cell
* V: 43.44 A^3/atom
* raw total energy: -3.323 eV/atom

---

(3)
First-principles (PBE) data for crystalline SmAlIr at its relaxed geometry, as listed in the Alexandria database. Values from VASP.

```
&SYSTEM
  ibrav = 0, nat = 3, ntyp = 3
/
ATOMIC_SPECIES
Al 26.98 Al.upf
Sm 150.36 Sm.upf
Ir 192.22 Ir.upf
CELL_PARAMETERS angstrom
3.972 0.000 0.000
0.000 4.314 0.000
0.000 -2.157 3.736
ATOMIC_POSITIONS crystal
Al 0.167 0.667 0.333
Sm 0.667 0.333 0.667
Ir 0.166 0.000 0.000
```

Values from the calculation:
* DOS(E_F): 1.8 states/eV per cell
* M_tot: 0.0 Bohr magnetons per cell
* V: 21.34 A^3/atom
* energy relative to the elements: -714 meV/atom

---

(4)
First-principles (PBE) data for crystalline NaZrIn2Re at its relaxed geometry, as listed in the Alexandria database. Values from VASP.

```
&SYSTEM
  ibrav = 0, nat = 5, ntyp = 4
/
ATOMIC_SPECIES
Zr 91.22 Zr.upf
Na 22.99 Na.upf
In 114.82 In.upf
Re 186.21 Re.upf
CELL_PARAMETERS angstrom
5.672 0.000 0.000
0.000 4.960 0.000
0.000 0.000 5.672
ATOMIC_POSITIONS crystal
Zr 0.000 0.000 0.000
Na 0.500 0.500 0.500
In 0.000 0.000 0.500
Re 0.000 0.500 0.000
In 0.500 0.000 0.000
```

Values from the calculation:
* DOS(E_F): 3.9 states/eV per cell
* M_tot: 1.9 Bohr magnetons per cell
* V: 31.92 A^3/atom
* energy relative to the elements: 993 meV/atom

---

(5)
First-principles (PBE) data for crystalline Zr2Fe3Si at its relaxed geometry, as listed in the Alexandria database. Values from VASP.

```
&SYSTEM
  ibrav = 0, nat = 12, ntyp = 3
/
ATOMIC_SPECIES
Fe 55.84 Fe.upf
Si 28.09 Si.upf
Zr 91.22 Zr.upf
CELL_PARAMETERS angstrom
-3.056 3.694 1.376
-1.705 -3.712 -2.862
-2.044 -4.150 6.601
ATOMIC_POSITIONS crystal
Fe 0.170 0.340 0.750
Si 0.000 0.000 0.000
Zr 0.667 0.333 0.936
Zr 0.333 0.667 0.064
Fe 0.660 0.830 0.750
Zr 0.667 0.333 0.564
Fe 0.340 0.170 0.250
Fe 0.170 0.830 0.750
Zr 0.333 0.667 0.436
Fe 0.830 0.170 0.250
Fe 0.830 0.660 0.250
Si 0.000 0.000 0.500
```

Values from the calculation:
* DOS(E_F): 6.2 states/eV per cell
* M_tot: 8.0 Bohr magnetons per cell
* V: 14.47 A^3/atom
* raw total energy: -8.514 eV/atom

---

(6)
First-principles (PBE) data for crystalline PaNiP2Ir2 at its relaxed geometry, as listed in the Alexandria database. Values from VASP.

```
&SYSTEM
  ibrav = 0, nat = 6, ntyp = 4
/
ATOMIC_SPECIES
P 30.97 P.upf
Ni 58.69 Ni.upf
Ir 192.22 Ir.upf
Pa 231.04 Pa.upf
CELL_PARAMETERS angstrom
4.695 0.000 0.000
0.000 4.695 0.000
-2.347 -2.347 4.845
ATOMIC_POSITIONS crystal
P 0.785 0.785 0.570
Ni 0.000 0.000 0.000
Ir 0.250 0.750 0.500
Pa 0.500 0.500 0.000
P 0.215 0.215 0.430
Ir 0.750 0.250 0.500
```

Values from the calculation:
* DOS(E_F): 6.4 states/eV per cell
* M_tot: 0.0 Bohr magnetons per cell
* V: 17.80 A^3/atom
* energy relative to the elements: -119 meV/atom

---

Q: Which of these has the lowest DOS(E_F)?
A: SmAlIr